{"formula": "Pr2NdTmSb4", "functional": "PBE", "state": "relaxed", "sg": "No. 10", "raw_formation_energy_ev_per_atom": -1.151, "crystal_system": "monoclinic", "dft_energy_ev_per_cell": -44.49, "cell": [[7.7849, 0.0000, 0.0000], [0.0000, 4.5008, 0.0000], [-2.6026, 0.0000, 7.3400]], "species": ["Pr", "Pr", "Nd", "Tm", "Sb", "Sb", "Sb", "Sb"], "frac_coords": [[0.0000, 0.0000, 0.0000], [0.0000, 0.5000, 0.5000], [0.5000, 0.0000, 0.5000], [0.5000, 0.5000, 0.0000], [0.2562, 0.5000, 0.2465], [0.2603, 0.0000, 0.7589], [0.7397, 0.0000, 0.2411], [0.7438, 0.5000, 0.7535]]}

***

{"formula": "MgZr5In3", "functional": "PBE", "state": "relaxed", "sg": "No. 193", "e_form_ev_per_fu": -2.2, "crystal_system": "hexagonal", "dft_energy_ev_per_cell": -109.60, "cell": [[8.7817, 0.0000, 0.0000], [-4.3908, 7.6052, 0.0000], [0.0000, 0.0000, 6.0279]], "species": ["Mg", "Mg", "Zr", "Zr", "Zr", "Zr", "Zr", "Zr", "Zr", "Zr", "Zr", "Zr", "In", "In", "In", "In", "In", "In"], "frac_coords": [[0.0000, 0.0000, 0.0000], [0.0000, 0.0000, 0.5000], [0.0000, 0.3228, 0.2500], [0.0000, 0.6772, 0.7500], [0.3228, 0.0000, 0.2500], [0.3228, 0.3228, 0.7500], [0.3333, 0.6667, 0.0000], [0.3333, 0.6667, 0.5000], [0.6667, 0.3333, 0.0000], [0.6667, 0.3333, 0.5000], [0.6772, 0.0000, 0.7500], [0.6772, 0.6772, 0.2500], [0.0000, 0.3456, 0.7500], [0.0000, 0.6544, 0.2500], [0.3456, 0.0000, 0.7500], [0.3456, 0.3456, 0.2500], [0.6544, 0.0000, 0.2500], [0.6544, 0.6544, 0.7500]]}